(1)
Below is Sc3P2O after structural relaxation, with properties calculated at the PBE level.

Energy relative to the elements, uncorrected   -1878 meV/atom
SG   C2/c (15)

Cell: 6.2113 6.2113 7.0843 Å, 106.39 106.39 49.92°
Fractional positions:
Sc1 0.0538 0.9462 0.7500
Sc2 0.3455 0.3505 0.4221
Sc3 0.3505 0.3455 0.9221
Sc4 0.6495 0.6545 0.0779
Sc5 0.6545 0.6495 0.5779
Sc6 0.9462 0.0538 0.2500
P1 0.1696 0.1728 0.0851
P2 0.1728 0.1696 0.5851
P3 0.8272 0.8304 0.4149
P4 0.8304 0.8272 0.9149
O1 0.4601 0.5399 0.7500
O2 0.5399 0.4601 0.2500

***

(2)
Below is Pr3BiRh8 after structural relaxation, with properties calculated at the PBE level.

Energy relative to the elements   -493 meV per atom
SG   R3m (160)

Cell: 9.3967 9.3967 9.3967 Å, 33.56 33.56 33.56°
Fractional positions:
Pr1 0.0000 0.0000 0.0000
Pr2 0.1268 0.1268 0.1268
Pr3 0.5062 0.5062 0.5062
Bi1 0.6304 0.6304 0.6304
Rh1 0.0641 0.5649 0.5649
Rh2 0.0658 0.0658 0.5641
Rh3 0.0658 0.5641 0.0658
Rh4 0.3147 0.3147 0.3147
Rh5 0.5641 0.0658 0.0658
Rh6 0.5649 0.0641 0.5649
Rh7 0.5649 0.5649 0.0641
Rh8 0.8150 0.8150 0.8150

***

(3)
Below is HfIn2Mo after structural relaxation, with properties calculated at the PBE level.

Energy relative to the elements   275 meV per atom
SG   Fm-3m (225)

Cell: 4.8182 4.8182 4.8182 Å, 60.00 60.00 60.00°
Fractional positions:
Hf1 0.0000 0.0000 0.0000
In1 0.2500 0.2500 0.2500
In2 0.7500 0.7500 0.7500
Mo1 0.5000 0.5000 0.5000

***

(4)
Below is AuCBr3 after structural relaxation, with properties calculated at the PBE level.

Energy relative to the elements, uncorrected   1509 meV/atom
SG   Pm-3m (221)

Cell: 5.2661 5.2661 5.2661 Å, 90.00 90.00 90.00°
Fractional positions:
Au1 0.0000 0.0000 0.0000
C1 0.5000 0.5000 0.5000
Br1 0.0000 0.0000 0.5000
Br2 0.0000 0.5000 0.0000
Br3 0.5000 0.0000 0.0000

***

Magnetic moment list, top to bottom, in μB/cell: 0.000; 0.000; 0.781; 1.252
Calculated volume list, top to bottom, in Å³/atom: 16.561; 18.822; 19.774; 29.208